Below is a relaxed Ba2Cu5Ge3 crystal, with properties calculated at the GGA-PBE level.

a = 6.385 Å, b = 8.640 Å, c = 8.640 Å
α = 72.91°, β = 68.31°, γ = 68.31°
Sites, in units of the cell vectors:
Ba1 0.126 0.619 0.128
Ba2 0.626 0.128 0.619
Ba3 0.874 0.381 0.872
Ba4 0.374 0.872 0.381
Cu1 0.383 0.242 0.993
Cu2 0.883 0.993 0.242
Cu3 0.617 0.758 0.007
Cu4 0.117 0.007 0.758
Cu5 0.501 0.749 0.749
Cu6 0.499 0.251 0.251
Cu7 0.750 0.500 0.500
Cu8 0.250 0.500 0.500
Cu9 0.999 0.251 0.251
Cu10 0.001 0.749 0.749
Ge1 0.375 0.506 0.745
Ge2 0.875 0.745 0.506
Ge3 0.625 0.494 0.255
Ge4 0.125 0.255 0.494
Ge5 0.250 0.000 0.000
Ge6 0.750 0.000 0.000

Results
Its size of the total moment is 0.000 μB per cell. As for the space group: Ibam, No. 72. For the formation energy, the calculation gives -2.0 eV per formula unit.